Be2TePb at its PBEsol-relaxed geometry, computed with meta-GGA SCAN.

Raw total energy = -30.050 eV/atom
ρ = 7.881 g/cm³
Space group = No. 123

```
Be2TePb
1.0
3.731 0.000 0.000
0.000 3.731 0.000
0.000 0.000 5.342
Be Te Pb
2 1 1
Direct
0.000 0.000 0.000
0.500 0.500 0.500
0.000 0.000 0.500
0.500 0.500 0.000
```